# 1
DFT (PBE) results for Ni2PbW after structural relaxation.

Calculated values
For the magnetic moment, the calculation gives 0.318 μB per atom. The value obtained for the formation energy is 0.6233 eV/atom.

```
data_Ni2PbW
_symmetry_space_group_name_H-M 'I -4 m 2'
_symmetry_Int_Tables_number 119
_symmetry_space_group_name_Hall 'I -4 -2'
_cell_length_a 3.875
_cell_length_b 3.875
_cell_length_c 8.214
_cell_angle_alpha 90.00
_cell_angle_beta 90.00
_cell_angle_gamma 90.00
loop_
_atom_site_label
_atom_site_fract_x
_atom_site_fract_y
_atom_site_fract_z
Ni1 0.000 0.000 0.000
Ni2 0.000 0.500 0.250
Pb1 0.000 0.500 0.750
W1 0.000 0.000 0.500
```



# 2
DFT (PBE) results for LaHNO2 after structural relaxation.

Calculated values
Its total energy is -28.9 eV/cell. For the magnetic moment, the calculation gives 0.213 μB per atom.

```
data_LaHNO2
_symmetry_space_group_name_H-M 'P 4/m m m'
_symmetry_Int_Tables_number 123
_symmetry_space_group_name_Hall '-P 4 2'
_cell_length_a 3.970
_cell_length_b 3.970
_cell_length_c 3.198
_cell_angle_alpha 90.00
_cell_angle_beta 90.00
_cell_angle_gamma 90.00
loop_
_atom_site_label
_atom_site_fract_x
_atom_site_fract_y
_atom_site_fract_z
La1 0.000 0.000 0.000
H1 0.500 0.500 0.500
N1 0.500 0.500 0.000
O1 0.000 0.500 0.500
```



# 3
DFT (PBE) results for InAgW after structural relaxation.

Calculated values
For the magnetic moment, the calculation gives 0.000 μB per atom. The value obtained for the formation energy is 0.5158 eV/atom.

```
data_InAgW
_symmetry_space_group_name_H-M 'P 3 m 1'
_symmetry_Int_Tables_number 156
_cell_length_a 2.9463
_cell_length_b 2.9463
_cell_length_c 7.3223
_cell_angle_alpha 90.00
_cell_angle_beta 90.00
_cell_angle_gamma 120.00
loop_
_symmetry_equiv_pos_as_xyz
'x,y,z'
'-y,x-y,z'
'-x+y,-x,z'
'-y,-x,z'
'-x+y,y,z'
'x,x-y,z'
loop_
_atom_site_label
_atom_site_fract_x
_atom_site_fract_y
_atom_site_fract_z
In1 0.0000 0.0000 0.0000
Ag1 0.3333 0.6667 0.6562
W1 0.6667 0.3333 0.3330
```